(1)
Density functional theory data (PBE) for a relaxed Lu5C crystal.

- symmetry = P6/mmm
- total energy (eV/atom) = -3.745

Cell: 6.0376 6.0376 5.8109 Å, 90.00 90.00 120.00°
With the nearest neighbours (Å) after each atom.
Atoms (fractional coordinates):
Lu 0.6667 0.3333 0.0000  9 Lu 3.39-3.49, 3 C 3.49
Lu 0.5000 0.0000 0.5000  4 Lu 3.02
Lu 0.3333 0.6667 0.0000  9 Lu 3.39-3.49, 3 C 3.49
Lu 0.5000 0.5000 0.5000  4 Lu 3.02
Lu 0.0000 0.5000 0.5000  4 Lu 3.02
C 0.0000 0.0000 0.0000  6 Lu 3.49

(2)
Density functional theory data (PBE) for a relaxed FeH5 crystal.

- symmetry = I4/mmm
- total energy (eV/atom) = -3.890

Cell: 7.1763 7.1763 7.1763 Å, 158.40 158.40 30.73°
With the nearest neighbours (Å) after each atom.
Atoms (fractional coordinates):
H 0.5877 0.5877 0.0000  8 H 1.71-1.81, 4 Fe 1.90
H 0.8360 0.3360 0.5000  2 H 1.47
H 0.5000 0.0000 0.5000  8 H 1.81-1.90, 4 Fe 1.88
H 0.4123 0.4123 0.0000  8 H 1.71-1.81, 4 Fe 1.90
H 0.1640 0.6640 0.5000  2 H 1.47
H 0.2067 0.2067 0.0000  4 H 1.47, 1 Fe 1.54
H 0.7933 0.7933 0.0000  4 H 1.47, 1 Fe 1.54
H 0.3360 0.8360 0.5000  2 H 1.47
H 0.0000 0.5000 0.5000  8 H 1.81-1.90, 4 Fe 1.88
H 0.6640 0.1640 0.5000  2 H 1.47
Fe 0.9046 0.9046 0.0000  5 H 1.54-1.65
Fe 0.0954 0.0954 0.0000  5 H 1.54-1.65

(3)
Density functional theory data (PBE) for a relaxed TaIn2Fe crystal.

- symmetry = F-43m
- total energy (eV/atom) = -5.917

Cell: 4.6682 4.6682 4.6682 Å, 60.00 60.00 60.00°
With the nearest neighbours (Å) after each atom.
Atoms (fractional coordinates):
Fe 0.2500 0.2500 0.2500  4 Ta 2.86, 4 In 2.86
In 0.7500 0.7500 0.7500  4 In 2.86, 4 Ta 2.86
In 0.0000 0.0000 0.0000  4 In 2.86, 4 Fe 2.86
Ta 0.5000 0.5000 0.5000  4 In 2.86, 4 Fe 2.86

(4)
Density functional theory data (PBE) for a relaxed LuTaCu crystal.

- energy relative to the elements (eV/atom) = 1.177
- symmetry = F-43m
- energy relative to the lowest polymorph listed for this composition (kcal/mol of atoms) = 0.00

Cell: 4.5088 4.5088 4.5088 Å, 60.00 60.00 60.00°
With the nearest neighbours (Å) after each atom.
Atoms (fractional coordinates):
Cu 0.2500 0.2500 0.2500  4 Ta 2.76
Lu 0.7500 0.7500 0.7500  4 Ta 2.76
Ta 0.0000 0.0000 0.0000  4 Lu 2.76, 4 Cu 2.76

(5)
Density functional theory data (PBE) for a relaxed DyYPd crystal.

- energy relative to the elements (eV/atom) = -0.474
- symmetry = F-43m
- energy relative to the lowest polymorph listed for this composition (kcal/mol of atoms) = 3.65

Cell: 4.8766 4.8766 4.8766 Å, 60.00 60.00 60.00°
With the nearest neighbours (Å) after each atom.
Atoms (fractional coordinates):
Pd 0.0000 0.0000 0.0000  4 Y 2.99, 4 Dy 2.99
Y 0.7500 0.7500 0.7500  4 Pd 2.99
Dy 0.2500 0.2500 0.2500  4 Pd 2.99

(6)
Density functional theory data (PBE) for a relaxed K2NiWN4 crystal.

- symmetry = I-4
- total energy (eV/atom) = -6.768

Cell: 5.7483 5.7483 5.7483 Å, 120.69 120.69 88.81°
With the nearest neighbours (Å) after each atom.
Atoms (fractional coordinates):
K 0.5000 0.5000 0.0000  4 N 2.87
K 0.7500 0.2500 0.5000  4 N 2.85
N 0.1218 0.7728 0.1427  1 Ni 1.83, 1 W 1.87
N 0.0209 0.8782 0.6510  1 Ni 1.83, 1 W 1.87
N 0.2272 0.3699 0.3490  1 Ni 1.83, 1 W 1.87
N 0.6301 0.9791 0.8573  1 Ni 1.83, 1 W 1.87
W 0.2500 0.7500 0.5000  4 N 1.87
Ni 0.0000 0.0000 0.0000  4 N 1.83

(7)
Density functional theory data (PBE) for a relaxed BaSrAg2Se2F2 crystal.

- symmetry = P4mm
- total energy (eV/atom) = -4.534

Cell: 4.2864 4.2864 9.3048 Å, 90.00 90.00 90.00°
With the nearest neighbours (Å) after each atom.
Atoms (fractional coordinates):
Ag 0.0000 0.5000 0.5070  4 Se 2.76-2.79, 4 Ag 3.03
Ag 0.5000 0.0000 0.5070  4 Se 2.76-2.79, 4 Ag 3.03
Se 0.5000 0.5000 0.6940  4 Ag 2.76
Se 0.0000 0.0000 0.3150  4 Ag 2.79
F 0.5000 0.0000 0.9868  2 Sr 2.52, 2 Ba 2.67
F 0.0000 0.5000 0.9868  2 Sr 2.52, 2 Ba 2.67
Sr 0.0000 0.0000 0.8453  4 F 2.52
Ba 0.5000 0.5000 0.1580  4 F 2.67

(8)
Density functional theory data (PBE) for a relaxed SrDyCuSi3 crystal.

- symmetry = Fmmm
- total energy (eV/atom) = -4.940

Cell: 8.2754 8.1578 5.8700 Å, 70.15 68.00 41.85°
With the nearest neighbours (Å) after each atom.
Atoms (fractional coordinates):
Cu 0.1657 0.1657 0.8343  3 Si 2.30-2.42
Cu 0.8343 0.8343 0.1657  3 Si 2.30-2.42
Dy 0.2596 0.7404 0.2596  10 Si 3.10-3.18, 2 Cu 3.23
Dy 0.7404 0.2596 0.7404  10 Si 3.10-3.18, 2 Cu 3.23
Si 0.3254 0.8381 0.6746  1 Cu 2.30, 2 Si 2.32-2.37
Si 0.3364 0.3364 0.6636  2 Si 2.37, 1 Cu 2.42
Si 0.6636 0.6636 0.3364  2 Si 2.37, 1 Cu 2.42
Si 0.8381 0.3254 0.1619  1 Cu 2.30, 2 Si 2.32-2.37
Si 0.1619 0.6746 0.8381  1 Cu 2.30, 2 Si 2.32-2.37
Si 0.6746 0.1619 0.3254  1 Cu 2.30, 2 Si 2.32-2.37
Sr 0.2500 0.2500 0.2500  4 Cu 3.17, 8 Si 3.18-3.20
Sr 0.7500 0.7500 0.7500  4 Cu 3.17, 8 Si 3.18-3.20